(1)
VASP calculation (PBE) on a relaxed LiSe crystal.

The structure in POSCAR format:
```
LiSe
1.0
3.2658 0.0000 0.0000
-1.6329 2.8283 0.0000
0.0000 0.0000 3.9076
Li Se
1 1
Direct
0.0000 0.0000 0.0000
0.6667 0.3333 0.5000
```

Output
- calculated volume (Å³ per atom) = 18.05
- VASP energy (eV per atom) = -3.381
- theoretical density (g cm⁻³) = 3.95
- SG = P-6m2, No. 187
- N(E_F) (states/eV/cell) = 0.9
- formation energy from raw total energies (eV/atom) = -0.68


(2)
VASP calculation (PBE) on a relaxed RbBaErBr6 crystal.

The structure in POSCAR format:
```
RbBaErBr6
1.0
8.0046 0.0000 0.0000
-4.0023 6.9322 0.0000
0.0000 0.0000 14.1668
Rb Ba Er Br
2 2 2 12
Direct
0.0000 0.0000 0.0000
0.0000 0.0000 0.5000
0.3333 0.6667 0.2500
0.6667 0.3333 0.7500
0.3333 0.6667 0.7500
0.6667 0.3333 0.2500
0.0426 0.3890 0.6354
0.0426 0.6536 0.8646
0.3464 0.3890 0.8646
0.3464 0.9574 0.6354
0.3890 0.0426 0.1354
0.3890 0.3464 0.3646
0.6110 0.6536 0.6354
0.6110 0.9574 0.8646
0.6536 0.0426 0.3646
0.6536 0.6110 0.1354
0.9574 0.3464 0.1354
0.9574 0.6110 0.3646
```

Output
- calculated volume (Å³ per atom) = 43.67
- VASP energy (eV per atom) = -3.908
- theoretical density (g cm⁻³) = 3.67
- SG = P-31c, No. 163
- N(E_F) (states/eV/cell) = 0.0
- formation energy from raw total energies (eV/atom) = -1.96


(3)
VASP calculation (PBE) on a relaxed CdFeGeC2 crystal.

The structure in POSCAR format:
```
CdFeGeC2
1.0
3.7341 0.0000 0.0000
0.0000 3.7341 0.0000
0.0000 0.0000 5.3354
Cd Fe Ge C
1 1 1 2
Direct
0.0000 0.0000 0.0000
0.0000 0.0000 0.5000
0.5000 0.5000 0.0000
0.0000 0.5000 0.5000
0.5000 0.0000 0.5000
```

Output
- calculated volume (Å³ per atom) = 14.88
- VASP energy (eV per atom) = -5.113
- theoretical density (g cm⁻³) = 5.91
- SG = P4/mmm, No. 123
- N(E_F) (states/eV/cell) = 2.3


(4)
VASP calculation (PBE) on a relaxed Mn3SiN crystal.

The structure in POSCAR format:
```
Mn3SiN
1.0
3.7280 0.0000 0.0000
0.0000 3.7280 0.0000
0.0000 0.0000 3.7280
Mn Si N
3 1 1
Direct
0.0000 0.0000 0.5000
0.0000 0.5000 0.0000
0.5000 0.0000 0.0000
0.5000 0.5000 0.5000
0.0000 0.0000 0.0000
```

Output
- calculated volume (Å³ per atom) = 10.36
- VASP energy (eV per atom) = -8.546
- theoretical density (g cm⁻³) = 6.63
- SG = Pm-3m, No. 221
- N(E_F) (states/eV/cell) = 4.0
- formation energy from raw total energies (eV/atom) = -0.29


(5)
VASP calculation (PBE) on a relaxed KZrIrN2 crystal.

The structure in POSCAR format:
```
KZrIrN2
1.0
4.4289 0.0000 0.0000
0.0000 4.4289 0.0000
0.0000 0.0000 5.2280
K Zr Ir N
1 1 1 2
Direct
0.0000 0.0000 0.0000
0.5000 0.5000 0.5000
0.5000 0.5000 0.0000
0.0000 0.5000 0.5000
0.5000 0.0000 0.5000
```

Output
- calculated volume (Å³ per atom) = 20.51
- VASP energy (eV per atom) = -6.130
- theoretical density (g cm⁻³) = 5.68
- SG = P4/mmm, No. 123
- N(E_F) (states/eV/cell) = 4.3
- formation energy from raw total energies (eV/atom) = 0.90


(6)
VASP calculation (PBE) on a relaxed CaCu2PtO4 crystal.

The structure in POSCAR format:
```
CaCu2PtO4
1.0
-2.5316 2.8596 3.4631
2.5316 -2.8596 3.4631
2.5316 2.8596 -3.4631
Ca Cu Pt O
1 2 1 4
Direct
0.0000 0.0000 0.0000
0.2786 0.7786 0.5000
0.7214 0.2214 0.5000
0.5000 0.5000 0.0000
0.0805 0.1201 0.6433
0.4768 0.4372 0.3567
0.5232 0.8799 0.9604
0.9195 0.5628 0.0396
```

Output
- calculated volume (Å³ per atom) = 12.54
- VASP energy (eV per atom) = -5.370
- theoretical density (g cm⁻³) = 7.06
- SG = I222, No. 23
- N(E_F) (states/eV/cell) = 1.6
- formation energy from raw total energies (eV/atom) = -0.86


(7)
VASP calculation (PBE) on a relaxed NaPrIn2Cl6 crystal.

The structure in POSCAR format:
```
NaPrIn2Cl6
1.0
3.8354 2.2144 6.3944
-3.8354 2.2144 6.3944
0.0000 -4.4287 6.3944
Na Pr In Cl
1 1 2 6
Direct
0.0000 0.0000 0.0000
0.4954 0.4954 0.4954
0.2805 0.2805 0.2805
0.7847 0.7847 0.7847
0.1569 0.7110 0.3422
0.2249 0.6596 0.8223
0.3422 0.1569 0.7110
0.6596 0.8223 0.2249
0.7110 0.3422 0.1569
0.8223 0.2249 0.6596
```

Output
- calculated volume (Å³ per atom) = 32.59
- VASP energy (eV per atom) = -3.866
- theoretical density (g cm⁻³) = 3.09
- SG = R3, No. 146
- N(E_F) (states/eV/cell) = 0.0
- formation energy from raw total energies (eV/atom) = -1.60


(8)
VASP calculation (PBE) on a relaxed AcTbEr2 crystal.

The structure in POSCAR format:
```
AcTbEr2
1.0
5.1757 0.0000 0.0000
0.0000 5.1757 0.0000
0.0000 0.0000 5.0898
Ac Tb Er
1 1 2
Direct
0.0000 0.0000 0.0000
0.5000 0.5000 0.0000
0.0000 0.5000 0.5000
0.5000 0.0000 0.5000
```

Output
- calculated volume (Å³ per atom) = 34.09
- VASP energy (eV per atom) = -4.402
- theoretical density (g cm⁻³) = 8.77
- SG = P4/mmm, No. 123
- N(E_F) (states/eV/cell) = 6.9


(9)
VASP calculation (PBE) on a relaxed LiPu2Au3 crystal.

The structure in POSCAR format:
```
LiPu2Au3
1.0
3.3071 0.0000 0.0000
0.0000 3.3071 0.0000
0.0000 0.0000 11.4251
Li Pu Au
1 2 3
Direct
0.0000 0.0000 0.0000
0.0000 0.0000 0.3133
0.0000 0.0000 0.6867
0.5000 0.5000 0.1293
0.5000 0.5000 0.5000
0.5000 0.5000 0.8707
```

Output
- calculated volume (Å³ per atom) = 20.83
- VASP energy (eV per atom) = -7.183
- theoretical density (g cm⁻³) = 14.43
- SG = P4/mmm, No. 123
- N(E_F) (states/eV/cell) = 16.2


(10)
VASP calculation (PBE) on a relaxed TbNi2Ir2 crystal.

The structure in POSCAR format:
```
TbNi2Ir2
1.0
-1.9531 1.9531 10.8017
1.9531 -1.9531 10.8017
1.9531 1.9531 -10.8017
Tb Ni Ir
2 4 4
Direct
0.1246 0.1246 0.0000
0.8754 0.8754 0.0000
0.0000 0.5000 0.5000
0.3221 0.3221 0.0000
0.5000 0.0000 0.5000
0.6779 0.6779 0.0000
0.2500 0.7500 0.5000
0.4298 0.4298 0.0000
0.5702 0.5702 0.0000
0.7500 0.2500 0.5000
```

Output
- calculated volume (Å³ per atom) = 16.48
- VASP energy (eV per atom) = -6.996
- theoretical density (g cm⁻³) = 13.31
- SG = I4/mmm, No. 139
- N(E_F) (states/eV/cell) = 14.4


(11)
VASP calculation (PBE) on a relaxed Rb2LaP2S6 crystal.

The structure in POSCAR format:
```
Rb2LaP2S6
1.0
6.0891 -3.5445 0.0000
6.0891 3.5445 0.0000
-4.0187 0.0000 7.2628
Rb La P S
2 1 2 6
Direct
0.2124 0.2124 0.1962
0.7876 0.7876 0.8038
0.0000 0.0000 0.5000
0.4541 0.4541 0.8270
0.5459 0.5459 0.1730
0.2212 0.6984 0.2048
0.2602 0.2602 0.6376
0.3016 0.7788 0.7952
0.6984 0.2212 0.2048
0.7398 0.7398 0.3624
0.7788 0.3016 0.7952
```

Output
- calculated volume (Å³ per atom) = 28.50
- VASP energy (eV per atom) = -4.796
- theoretical density (g cm⁻³) = 2.99
- SG = C2/m, No. 12
- N(E_F) (states/eV/cell) = 3.1
- formation energy from raw total energies (eV/atom) = -0.94


> Look up the VASP energy of the ninth one.

-7.183 eV per atom